# 1
Dy6Te3C2N | PBE | optimized geometry

The structure in POSCAR format:
```
Dy6Te3C2N
1.0
6.5945 -0.0002 0.0005
-3.2958 5.7118 0.0005
-1.0998 -1.9042 6.9745
C Dy Te N
2 6 3 1
Cartesian
3.2983 1.9035 0.0005
0.0004 3.8081 0.0005
-1.0980 1.9027 1.3038
2.1985 3.8067 1.3087
3.2969 1.9046 5.6717
2.1968 -0.0002 1.3038
0.0004 0.0007 5.6669
0.0021 3.8075 5.6717
1.0995 1.9037 3.4878
4.3918 0.0023 3.4878
-2.1929 3.8051 3.4878
0.0000 0.0000 0.0000
```


# 2
Dy4Te2CN | PBE | optimized geometry

The structure in POSCAR format:
```
Dy4Te2CN
1.0
3.7951 0.0000 0.0000
0.0000 6.5719 0.1080
0.0000 -2.3100 6.9141
C Dy Te N
1 4 2 1
Cartesian
1.8976 3.2859 0.0540
0.0000 4.3517 1.3803
0.0000 -0.0898 5.6418
1.8976 1.0782 1.3061
1.8976 3.1837 5.7161
0.0000 2.1310 3.5111
1.8976 -1.1550 3.4571
0.0000 0.0000 0.0000
```


# 3
Dy8Te4C3N | PBE | optimized geometry

The structure in POSCAR format:
```
Dy8Te4C3N
1.0
7.6338 0.0000 0.0000
0.0000 8.2401 0.4196
-3.8169 -3.8120 5.4022
Dy Te C N
8 4 3 1
Cartesian
3.8169 3.9319 2.7743
5.7182 2.4183 0.3626
3.8169 0.5196 3.0529
0.0000 3.9085 2.7689
-1.9013 2.0098 5.4592
1.9156 2.4183 0.3626
1.9013 2.0098 5.4592
0.0000 0.4962 3.0475
3.8169 0.0000 0.0000
1.9085 -1.9060 2.7011
-1.9085 -1.9060 2.7011
0.0000 0.0000 0.0000
-1.9085 2.2140 2.9109
1.9085 2.2140 2.9109
3.8169 4.1201 0.2098
0.0000 4.1201 0.2098
```


Quick rundown of formation energy from raw total energies, same order as above: -1.056, -1.138, -1.010 eV/atom
Quick rundown of density of states at the Fermi level, same order as above: 2.67, 2.65, 2.51 states/eV/f.u.